# 1
Tl2Ge3Br8 | PBE | relaxed

Computed properties:
Formation energy from raw total energies, eV per formula unit: -8.47
Calculated total energy, eV/cell: -80.875

Lattice parameters (Å, degrees): 16.162 8.325 7.274 90.00 108.04 90.00
Space group C2/m (No. 12)
Inequivalent atoms, fractional coordinates:
1 Tl 0.239 0.000 0.171 x4
2 Ge 0.000 0.239 0.500 x4
3 Ge 0.000 0.500 0.000 x2
4 Br 0.103 0.263 0.895 x8
5 Br 0.106 0.500 0.393 x4
6 Br 0.107 0.000 0.448 x4

---

# 2
CuB2Br | PBE | relaxed

Computed properties:
Formation energy from raw total energies, eV per formula unit: 5.10
Relative energy among the computed polymorphs, eV per atom: 0.000
Calculated total energy, eV/cell: -56.110

Lattice parameters (Å, degrees): 5.149 5.149 9.385 90.00 90.00 90.00
Space group I-42d (No. 122)
Inequivalent atoms, fractional coordinates:
1 Cu 0.000 0.000 0.000 x4
2 B 0.189 0.250 0.125 x8
3 Br 0.000 0.000 0.500 x4

---

# 3
La2Zn3Ag2 | PBE | relaxed

Computed properties:
Energy of formation, eV per atom: -0.301
Calculated total energy, eV/cell: -42.979

Lattice parameters (Å, degrees): 10.518 4.711 6.838 90.00 113.03 90.00
Space group C2/m (No. 12)
Inequivalent atoms, fractional coordinates:
1 La 0.153 0.000 0.264 x4
2 Zn 0.000 0.500 0.500 x2
3 Zn 0.092 0.500 0.914 x4
4 Ag 0.145 0.000 0.742 x4

---

# 4
Ba2SrTl | PBE | relaxed

Computed properties:
Relative energy among the computed polymorphs, eV per atom: 0.113
Energy of formation, eV per atom: -0.108
Calculated total energy, eV/cell: -33.304

Lattice parameters (Å, degrees): 9.027 9.027 9.027 90.00 90.00 90.00
Space group Fm-3m (No. 225)
Inequivalent atoms, fractional coordinates:
1 Ba 0.250 0.250 0.250 x8
2 Sr 0.000 0.000 0.000 x4
3 Tl 0.000 0.000 0.500 x4